Below is LiCuNi after structural relaxation, with properties calculated at the PBE-GGA level.

The structure in CIF format:
```
data_LiCuNi
_chemical_formula_sum 'Li4 Cu4 Ni4'
_space_group_name_H-M_alt 'C 1 m 1'
_space_group_IT_number 8
_cell_length_a 8.009
_cell_length_b 3.658
_cell_length_c 5.030
_cell_angle_alpha 90.00
_cell_angle_beta 109.64
_cell_angle_gamma 90.00
loop_
_space_group_symop_operation_xyz
'x,y,z'
'x,-y,z'
'x+1/2,y+1/2,z'
'x+1/2,-y+1/2,z'
loop_
_atom_site_label
_atom_site_type_symbol
_atom_site_fract_x
_atom_site_fract_y
_atom_site_fract_z
Li1 Li 0.000 0.000 0.000
Li2 Li 0.174 0.500 0.336
Cu1 Cu 0.003 0.000 0.515
Cu2 Cu 0.335 0.000 0.167
Ni1 Ni 0.171 0.500 0.821
Ni2 Ni 0.338 0.000 0.673
```

Calculated values
For the formation energy, the calculation gives -0.028 eV per formula unit. The calculation puts the total energy at -0.1448 Ha/atom. The calculation puts the density of states at the Fermi level at 0.758 states/eV/atom. The calculated density comes out at 6.18 g/cm3. The energy above the most stable polymorph in this dataset comes out at 0.11 eV per formula unit.